MgTl | GGA-PBE | relaxed

Lattice parameters (Å, degrees): 8.4507 8.4507 5.3458 90.00 90.00 120.00
Last column: nearest neighbours and their distance in Å.
Space group P6_3/m (No. 176)
Inequivalent atoms, fractional coordinates:
Mg1 0.0393 0.2376 0.2500 [6 per cell]  5 Tl 3.07-3.21, 6 Mg 3.23-3.26
Tl1 0.0852 0.4604 0.7500 [6 per cell]  5 Mg 3.07-3.21, 4 Tl 3.26-3.37

Summary:
For the total energy, the calculation gives -0.1425 Ry per atom. As for the total magnetic moment: 0.00 Bohr magnetons per cell. For the formation energy, the calculation gives 41 meV/atom. The calculation puts the calculated volume at 27.55 A^3/atom.